1.
! Ho2Er3Tm6Zr | Alexandria via LeMat-Bulk | PBE-GGA | optimized geometry; values from VASP
&SYSTEM
  ibrav = 0, nat = 12, ntyp = 4
/
ATOMIC_SPECIES
Ho 164.93 Ho.upf
Er 167.26 Er.upf
Tm 168.93 Tm.upf
Zr 91.22 Zr.upf
ATOMIC_POSITIONS crystal
Ho 0.167 0.833 0.000
Ho 0.833 0.167 0.000
Er 0.000 0.000 0.500
Er 0.333 0.667 0.500
Er 0.667 0.333 0.500
Tm 0.092 0.419 0.754
Tm 0.254 0.254 0.245
Tm 0.419 0.092 0.754
Tm 0.581 0.908 0.246
Tm 0.746 0.746 0.755
Tm 0.908 0.581 0.246
Zr 0.500 0.500 0.000
CELL_PARAMETERS angstrom
3.010 -5.212 0.000
3.010 5.212 0.000
-2.001 0.000 11.232
! calculated formation energy = 0.0432 eV per atom
! Fermi-level density of states = 15.3 states/eV/f.u.
! space-group type = C2/m, No. 12
! total energy = -4.81 eV per atom


2.
! Gd2ErSn | Alexandria via LeMat-Bulk | PBE-GGA | optimized geometry; values from VASP
&SYSTEM
  ibrav = 0, nat = 16, ntyp = 3
/
ATOMIC_SPECIES
Gd 157.25 Gd.upf
Er 167.26 Er.upf
Sn 118.71 Sn.upf
ATOMIC_POSITIONS crystal
Gd 0.250 0.250 0.250
Gd 0.250 0.250 0.750
Gd 0.250 0.750 0.250
Gd 0.250 0.750 0.750
Gd 0.750 0.250 0.250
Gd 0.750 0.250 0.750
Gd 0.750 0.750 0.250
Gd 0.750 0.750 0.750
Er 0.000 0.000 0.000
Er 0.000 0.500 0.500
Er 0.500 0.000 0.500
Er 0.500 0.500 0.000
Sn 0.000 0.000 0.500
Sn 0.000 0.500 0.000
Sn 0.500 0.000 0.000
Sn 0.500 0.500 0.500
CELL_PARAMETERS angstrom
7.676 0.000 0.000
0.000 7.676 0.000
0.000 0.000 7.676
! calculated formation energy = -0.2730 eV per atom
! Fermi-level density of states = 3.8 states/eV/f.u.
! space-group type = Fm-3m, No. 225
! polymorph energy (0 for the lowest one) = 164 meV per atom
! total energy = -9.45 eV per atom


3.
! Sm5Ru2Au2 | Alexandria via LeMat-Bulk | PBE-GGA | optimized geometry; values from VASP
&SYSTEM
  ibrav = 0, nat = 18, ntyp = 3
/
ATOMIC_SPECIES
Sm 150.36 Sm.upf
Ru 101.07 Ru.upf
Au 196.97 Au.upf
ATOMIC_POSITIONS crystal
Sm 0.000 0.000 0.000
Sm 0.042 0.704 0.668
Sm 0.204 0.542 0.168
Sm 0.296 0.958 0.668
Sm 0.458 0.796 0.168
Sm 0.500 0.500 0.500
Sm 0.542 0.204 0.832
Sm 0.704 0.042 0.332
Sm 0.796 0.458 0.832
Sm 0.958 0.296 0.332
Ru 0.134 0.866 0.367
Ru 0.366 0.634 0.867
Ru 0.634 0.366 0.133
Ru 0.866 0.134 0.633
Au 0.208 0.208 0.000
Au 0.292 0.292 0.500
Au 0.708 0.708 0.500
Au 0.792 0.792 0.000
CELL_PARAMETERS angstrom
7.628 -3.842 0.000
7.628 3.842 0.000
0.000 0.000 7.763
! calculated formation energy = -0.5012 eV per atom
! Fermi-level density of states = 5.6 states/eV/f.u.
! space-group type = Cmce, No. 64
! total energy = -5.91 eV per atom


4.
! BaRhBr2 | Alexandria via LeMat-Bulk | PBE-GGA | optimized geometry; values from VASP
&SYSTEM
  ibrav = 0, nat = 12, ntyp = 3
/
ATOMIC_SPECIES
Ba 137.33 Ba.upf
Rh 102.91 Rh.upf
Br 79.90 Br.upf
ATOMIC_POSITIONS crystal
Ba 0.000 0.000 0.000
Ba 0.333 0.667 0.667
Ba 0.667 0.333 0.333
Rh 0.000 0.000 0.500
Rh 0.333 0.667 0.167
Rh 0.667 0.333 0.833
Br 0.000 0.000 0.229
Br 0.000 0.000 0.771
Br 0.333 0.667 0.438
Br 0.333 0.667 0.895
Br 0.667 0.333 0.105
Br 0.667 0.333 0.562
CELL_PARAMETERS angstrom
4.832 0.000 0.000
-2.416 4.185 0.000
0.000 0.000 16.134
! Fermi-level density of states = 2.6 states/eV/f.u.
! space-group type = R-3m, No. 166
! polymorph energy (0 for the lowest one) = 147 meV per atom
! total energy = -3.90 eV per atom
! energy relative to the elements, uncorrected = -0.741 eV per atom